# 1
Entry from the Alexandria database: a relaxed structure of Re2Sb2F (PBE-GGA).

Excess energy over the best structure of this formula in the dataset   483 meV/atom
E_form (uncorrected)   390 meV per atom
E_tot   -6.61 eV per atom
Magnetic moment   3.8 μB per cell

The structure in CIF format:
```
data_Re2Sb2F
_chemical_formula_sum 'Re4 Sb4 F2'
_cell_length_a 7.660
_cell_length_b 7.660
_cell_length_c 3.161
_cell_angle_alpha 90.00
_cell_angle_beta 90.00
_cell_angle_gamma 90.00
_symmetry_space_group_name_H-M 'P 4/m b m'
_symmetry_Int_Tables_number 127
_symmetry_space_group_name_Hall '-P 4 2ab'
loop_
_atom_site_label
_atom_site_type_symbol
_atom_site_fract_x
_atom_site_fract_y
_atom_site_fract_z
Re1 Re 0.133 0.367 0.000
Sb1 Sb 0.161 0.661 0.500
F1 F 0.000 0.000 0.500
```

=====

# 2
Entry from the Alexandria database: a relaxed structure of Ca2TiInPd (PBE-GGA).

DFT formation energy   0.25 eV/atom
E_tot   -3.72 eV per atom
Magnetic moment   0.0 μB per cell

The structure in CIF format:
```
data_Ca2TiInPd
_chemical_formula_sum 'Ca2 Ti1 In1 Pd1'
_cell_length_a 5.319
_cell_length_b 5.319
_cell_length_c 5.181
_cell_angle_alpha 90.00
_cell_angle_beta 90.00
_cell_angle_gamma 90.00
_symmetry_space_group_name_H-M 'P 4/m m m'
_symmetry_Int_Tables_number 123
_symmetry_space_group_name_Hall '-P 4 2'
loop_
_atom_site_label
_atom_site_type_symbol
_atom_site_fract_x
_atom_site_fract_y
_atom_site_fract_z
Ca1 Ca 0.000 0.500 0.000
Ti1 Ti 0.000 0.000 0.500
In1 In 0.500 0.500 0.500
Pd1 Pd 0.500 0.500 0.000
```

=====

# 3
Entry from the Alexandria database: a relaxed structure of YRhW2 (PBE-GGA).

Excess energy over the best structure of this formula in the dataset   195 meV/atom
DFT formation energy   0.24 eV/atom
E_tot   -9.69 eV per atom
Magnetic moment   0.0 μB per cell

The structure in CIF format:
```
data_YRhW2
_chemical_formula_sum 'Y2 Rh2 W4'
_cell_length_a 3.871
_cell_length_b 3.871
_cell_length_c 9.756
_cell_angle_alpha 90.00
_cell_angle_beta 90.00
_cell_angle_gamma 90.00
_symmetry_space_group_name_H-M 'I 4/m m m'
_symmetry_Int_Tables_number 139
_symmetry_space_group_name_Hall '-I 4 2'
loop_
_atom_site_label
_atom_site_type_symbol
_atom_site_fract_x
_atom_site_fract_y
_atom_site_fract_z
Y1 Y 0.000 0.000 0.000
Rh1 Rh 0.000 0.000 0.500
W1 W 0.000 0.500 0.250
```

=====

# 4
Entry from the Alexandria database: a relaxed structure of Li3Sm3Ga8 (PBE-GGA).

DFT formation energy   -0.52 eV/atom
E_tot   -3.68 eV per atom
Magnetic moment   0.0 μB per cell

The structure in CIF format:
```
data_Li3Sm3Ga8
_chemical_formula_sum 'Li6 Sm6 Ga16'
_cell_length_a 4.319
_cell_length_b 9.617
_cell_length_c 13.144
_cell_angle_alpha 90.00
_cell_angle_beta 90.00
_cell_angle_gamma 90.00
_symmetry_space_group_name_H-M 'I m m m'
_symmetry_Int_Tables_number 71
_symmetry_space_group_name_Hall '-I 2 2'
loop_
_atom_site_label
_atom_site_type_symbol
_atom_site_fract_x
_atom_site_fract_y
_atom_site_fract_z
Li1 Li 0.000 0.000 0.000
Li2 Li 0.000 0.302 0.500
Sm1 Sm 0.000 0.500 0.000
Sm2 Sm 0.000 0.500 0.299
Ga1 Ga 0.000 0.135 0.344
Ga2 Ga 0.000 0.217 0.141
```

=====

# 5
Entry from the Alexandria database: a relaxed structure of TlCr2Ir (PBE-GGA).

Excess energy over the best structure of this formula in the dataset   124 meV/atom
DFT formation energy   0.50 eV/atom
E_tot   -7.12 eV per atom
Magnetic moment   0.0 μB per cell

The structure in CIF format:
```
data_TlCr2Ir
_chemical_formula_sum 'Tl2 Cr4 Ir2'
_cell_length_a 9.137
_cell_length_b 2.917
_cell_length_c 4.939
_cell_angle_alpha 90.00
_cell_angle_beta 101.38
_cell_angle_gamma 90.00
_symmetry_space_group_name_H-M 'C 1 2/m 1'
_symmetry_Int_Tables_number 12
loop_
_symmetry_equiv_pos_as_xyz
'x,y,z'
'-x,-y,-z'
'-x,y,-z'
'x,-y,z'
'x+1/2,y+1/2,z'
'-x+1/2,-y+1/2,-z'
'-x+1/2,y+1/2,-z'
'x+1/2,-y+1/2,z'
loop_
_atom_site_label
_atom_site_type_symbol
_atom_site_fract_x
_atom_site_fract_y
_atom_site_fract_z
Tl1 Tl 0.000 0.000 0.000
Cr1 Cr 0.240 0.000 0.665
Ir1 Ir 0.000 0.500 0.500
```

=====

# 6
Entry from the Alexandria database: a relaxed structure of SrMn2CoS8 (PBE-GGA).

E_form (uncorrected)   -481 meV per atom
E_tot   -5.49 eV per atom
Magnetic moment   2.5 μB per cell

The structure in CIF format:
```
data_SrMn2CoS8
_chemical_formula_sum 'Sr3 Mn6 Co3 S24'
_cell_length_a 5.7014
_cell_length_b 5.7014
_cell_length_c 24.9639
_cell_angle_alpha 90.00
_cell_angle_beta 90.00
_cell_angle_gamma 120.00
_symmetry_space_group_name_H-M 'R -3'
_symmetry_Int_Tables_number 148
_symmetry_space_group_name_Hall '-R 3'
loop_
_atom_site_label
_atom_site_type_symbol
_atom_site_fract_x
_atom_site_fract_y
_atom_site_fract_z
Sr1 Sr 0.0000 0.0000 0.0000
Mn1 Mn 0.0000 0.0000 0.2491
Co1 Co 0.0000 0.0000 0.5000
S1 S 0.0000 0.0000 0.3318
S2 S 0.0002 0.3332 0.4499
```

=====

# 7
Entry from the Alexandria database: a relaxed structure of TaZn2Si (PBE-GGA).

E_form (uncorrected)   228 meV per atom
E_tot   -4.73 eV per atom
Magnetic moment   0.0 μB per cell

The structure in CIF format:
```
data_TaZn2Si
_chemical_formula_sum 'Ta2 Zn4 Si2'
_cell_length_a 3.770
_cell_length_b 3.963
_cell_length_c 8.714
_cell_angle_alpha 90.00
_cell_angle_beta 90.00
_cell_angle_gamma 90.00
_symmetry_space_group_name_H-M 'C m m m'
_symmetry_Int_Tables_number 65
_symmetry_space_group_name_Hall '-C 2 2'
loop_
_atom_site_label
_atom_site_type_symbol
_atom_site_fract_x
_atom_site_fract_y
_atom_site_fract_z
Ta1 Ta 0.000 0.000 0.000
Zn1 Zn 0.000 0.500 0.242
Si1 Si 0.000 0.000 0.500
```

=====

# 8
Entry from the Alexandria database: a relaxed structure of KPuAg2F8 (PBE-GGA).

E_form (uncorrected)   -2193 meV per atom
E_tot   -5.20 eV per atom
Magnetic moment   2.8 μB per cell

The structure in CIF format:
```
data_KPuAg2F8
_chemical_formula_sum 'K1 Pu1 Ag2 F8'
_cell_length_a 5.5231
_cell_length_b 5.5231
_cell_length_c 8.7948
_cell_angle_alpha 90.00
_cell_angle_beta 90.00
_cell_angle_gamma 120.00
_symmetry_space_group_name_H-M 'P -3 m 1'
_symmetry_Int_Tables_number 164
_symmetry_space_group_name_Hall '-P 3 2"'
loop_
_atom_site_label
_atom_site_type_symbol
_atom_site_fract_x
_atom_site_fract_y
_atom_site_fract_z
K1 K 0.0000 0.0000 0.0000
Pu1 Pu 0.0000 0.0000 0.5000
Ag1 Ag 0.3333 0.6667 0.2447
F1 F 0.1688 0.3377 0.6488
F2 F 0.3333 0.6667 0.0069
```

=====

# 9
Entry from the Alexandria database: a relaxed structure of Cd2InPbO6 (PBE-GGA).

E_form (uncorrected)   -972 meV per atom
E_tot   -4.77 eV per atom
Magnetic moment   3.3 μB per cell

The structure in CIF format:
```
data_Cd2InPbO6
_chemical_formula_sum 'Cd6 In3 Pb3 O18'
_cell_length_a 5.7237
_cell_length_b 5.7237
_cell_length_c 14.9575
_cell_angle_alpha 90.00
_cell_angle_beta 90.00
_cell_angle_gamma 120.00
_symmetry_space_group_name_H-M 'R 3'
_symmetry_Int_Tables_number 146
_symmetry_space_group_name_Hall 'R 3'
loop_
_atom_site_label
_atom_site_type_symbol
_atom_site_fract_x
_atom_site_fract_y
_atom_site_fract_z
Cd1 Cd 0.0000 0.0000 0.0000
Cd2 Cd 0.0000 0.0000 0.4995
In1 In 0.0000 0.0000 0.7162
Pb1 Pb 0.0000 0.0000 0.2156
O1 O 0.0483 0.3621 0.7795
O2 O 0.0498 0.6849 0.2801
```

=====

# 10
Entry from the Alexandria database: a relaxed structure of LiRuC2 (PBE-GGA).

Excess energy over the best structure of this formula in the dataset   291 meV/atom
DFT formation energy   1.15 eV/atom
E_tot   -6.26 eV per atom
Magnetic moment   0.0 μB per cell

The structure in CIF format:
```
data_LiRuC2
_chemical_formula_sum 'Li4 Ru4 C8'
_cell_length_a 5.162
_cell_length_b 5.162
_cell_length_c 5.162
_cell_angle_alpha 90.00
_cell_angle_beta 90.00
_cell_angle_gamma 90.00
_symmetry_space_group_name_H-M 'F m -3 m'
_symmetry_Int_Tables_number 225
_symmetry_space_group_name_Hall '-F 4 2 3'
loop_
_atom_site_label
_atom_site_type_symbol
_atom_site_fract_x
_atom_site_fract_y
_atom_site_fract_z
Li1 Li 0.000 0.000 0.000
Ru1 Ru 0.000 0.000 0.500
C1 C 0.250 0.250 0.250
```

=====

# 11
Entry from the Alexandria database: a relaxed structure of Pm7PbC2 (PBE-GGA).

DFT formation energy   0.18 eV/atom
E_tot   -5.36 eV per atom
Magnetic moment   0.0 μB per cell

The structure in CIF format:
```
data_Pm7PbC2
_chemical_formula_sum 'Pm21 Pb3 C6'
_cell_length_a 4.7048
_cell_length_b 4.7048
_cell_length_c 41.4450
_cell_angle_alpha 90.00
_cell_angle_beta 90.00
_cell_angle_gamma 120.00
_symmetry_space_group_name_H-M 'R -3 m'
_symmetry_Int_Tables_number 166
_symmetry_space_group_name_Hall '-R 3 2"'
loop_
_atom_site_label
_atom_site_type_symbol
_atom_site_fract_x
_atom_site_fract_y
_atom_site_fract_z
Pm1 Pm 0.0000 0.0000 0.0000
Pm2 Pm 0.0000 0.0000 0.1291
Pm3 Pm 0.0000 0.0000 0.2899
Pm4 Pm 0.0000 0.0000 0.4137
Pb1 Pb 0.0000 0.0000 0.5000
C1 C 0.0000 0.0000 0.0652
```

=====

# 12
Entry from the Alexandria database: a relaxed structure of TiZnIrRu (PBE-GGA).

DFT formation energy   -0.54 eV/atom
E_tot   -7.36 eV per atom
Magnetic moment   0.0 μB per cell

The structure in CIF format:
```
data_TiZnIrRu
_chemical_formula_sum 'Ti4 Zn4 Ir4 Ru4'
_cell_length_a 6.117
_cell_length_b 6.117
_cell_length_c 6.117
_cell_angle_alpha 90.00
_cell_angle_beta 90.00
_cell_angle_gamma 90.00
_symmetry_space_group_name_H-M 'F -4 3 m'
_symmetry_Int_Tables_number 216
_symmetry_space_group_name_Hall 'F -4 2 3'
loop_
_atom_site_label
_atom_site_type_symbol
_atom_site_fract_x
_atom_site_fract_y
_atom_site_fract_z
Ti1 Ti 0.000 0.000 0.000
Zn1 Zn 0.000 0.000 0.500
Ir1 Ir 0.250 0.250 0.750
Ru1 Ru 0.250 0.250 0.250
```

=====

- Number 1 is which compound?
  Re2Sb2F